(1)
Computed, not measured: crystalline Rb2CaGeS4 at its relaxed geometry at the PBE level of DFT.

```
16
Lattice="8.275 0.000 0.000 0.000 9.091 0.000 0.000 0.000 7.229" Properties=species:S:1:pos:R:3 pbc="T T T"
Rb 1.942 1.486 0.000
Rb 2.195 7.605 3.614
Rb 6.080 7.605 3.614
Rb 6.332 1.486 0.000
Ca 0.000 3.470 3.489
Ca 4.137 5.621 7.104
Ge 0.000 6.037 7.043
Ge 4.137 3.054 3.429
S 0.000 4.045 0.815
S 0.000 5.755 4.841
S 1.865 7.241 0.295
S 2.272 1.849 3.910
S 4.137 3.336 1.226
S 4.137 5.046 4.429
S 6.002 1.849 3.910
S 6.409 7.241 0.295
```

Total magnetic moment: 0.0 μB/f.u.
Space group: No. 31
Mass density: 2516 kg/m3
Final energy: -4.234 eV per atom

=====

(2)
Computed, not measured: crystalline RbCaGe2Sb at its relaxed geometry at the PBE level of DFT.

```
5
Lattice="5.537 0.000 0.000 0.000 5.537 0.000 0.000 0.000 6.210" Properties=species:S:1:pos:R:3 pbc="T T T"
Rb 0.000 0.000 0.000
Ca 2.769 2.769 0.000
Ge 0.000 2.769 3.105
Ge 2.769 0.000 3.105
Sb 0.000 0.000 3.105
```

Total magnetic moment: 0.0 μB/f.u.
Space group: No. 123
Mass density: 3424 kg/m3
Final energy: -2.771 eV per atom

=====

(3)
Computed, not measured: crystalline RbSrCa2Ge at its relaxed geometry at the PBE level of DFT.

```
5
Lattice="5.991 0.000 0.000 0.000 5.991 0.000 0.000 0.000 6.310" Properties=species:S:1:pos:R:3 pbc="T T T"
Rb 0.000 0.000 0.000
Sr 2.995 2.995 0.000
Ca 0.000 2.995 3.155
Ca 2.995 0.000 3.155
Ge 2.995 2.995 3.155
```

Total magnetic moment: 0.4 μB/f.u.
Space group: No. 123
Mass density: 2390 kg/m3
Energy relative to the elements: -160 meV per atom
Final energy: -2.414 eV per atom

=====

(4)
Computed, not measured: crystalline RbCaZnGe2 at its relaxed geometry at the PBE level of DFT.

```
5
Lattice="5.612 0.000 0.000 0.000 5.612 0.000 0.000 0.000 5.886" Properties=species:S:1:pos:R:3 pbc="T T T"
Rb 0.000 0.000 0.000
Ca 2.806 2.806 2.943
Zn 2.806 2.806 0.000
Ge 0.000 2.806 2.943
Ge 2.806 0.000 2.943
```

Total magnetic moment: 0.0 μB/f.u.
Space group: No. 123
Mass density: 3012 kg/m3
Energy relative to the elements: 461 meV per atom
Final energy: -2.235 eV per atom

=====

(5)
Computed, not measured: crystalline Ca2Re2Ge at its relaxed geometry at the PBE level of DFT.

```
10
Lattice="6.552 0.000 0.000 0.000 6.552 0.000 0.000 0.000 4.982" Properties=species:S:1:pos:R:3 pbc="T T T"
Ca 1.124 2.152 0.000
Ca 2.152 5.428 0.000
Ca 4.400 1.124 0.000
Ca 5.428 4.400 0.000
Re 0.845 4.121 2.491
Re 2.431 0.845 2.491
Re 4.121 5.707 2.491
Re 5.707 2.431 2.491
Ge 0.000 0.000 2.491
Ge 3.276 3.276 2.491
```

Total magnetic moment: 0.0 μB/f.u.
Space group: No. 127
ΔE to the lowest computed polymorph: 0 meV per atom
Mass density: 8155 kg/m3
Energy relative to the elements: 195 meV per atom
Final energy: -6.508 eV per atom

=====

(6)
Computed, not measured: crystalline Ca2Re2Ge at its relaxed geometry at the PBE level of DFT.

```
5
Lattice="-2.116 2.116 6.660 2.116 -2.116 6.660 2.116 2.116 -6.660" Properties=species:S:1:pos:R:3 pbc="T T T"
Ca 2.116 0.000 3.330
Ca 0.000 2.116 3.330
Re 0.000 0.000 1.106
Re 0.000 0.000 12.214
Ge 0.000 0.000 6.660
```

Total magnetic moment: 0.0 μB/f.u.
Space group: No. 139
ΔE to the lowest computed polymorph: 1242 meV per atom
Mass density: 7309 kg/m3
Energy relative to the elements: 1437 meV per atom
Final energy: -5.266 eV per atom